DyCd2Cu2 | the Alexandria database | PBE | relaxed; space group = C2/m (12); DFT formation energy = -0.832 eV/f.u.
1.0
3.8714 0.0000 0.0000
0.0000 5.2315 0.1599
-1.9357 -1.3444 4.9574
Cu Cd Dy
2 2 1
direct
0.7167 0.1121 0.4333
0.2833 0.8879 0.5667
0.6424 0.5674 0.2848
0.3576 0.4326 0.7152
0.0000 0.0000 0.0000

Y3ScCd12 | the Alexandria database | PBE | relaxed; space group = P4/mmm (123); DFT formation energy = -3.964 eV/f.u.
1.0
-2.6668 2.8488 2.2056
-1.6931 -3.4132 2.3613
13.3658 2.4028 13.0570
Cd Y Sc
12 3 1
direct
0.5000 0.5000 0.2456
0.5000 0.0000 0.6270
0.5000 0.5000 0.5000
0.5000 0.0000 0.8808
0.0000 0.5000 0.3730
0.5000 0.0000 0.1192
0.5000 0.0000 0.3730
0.5000 0.5000 0.0000
0.0000 0.5000 0.8808
0.0000 0.5000 0.6270
0.0000 0.5000 0.1192
0.5000 0.5000 0.7544
0.0000 0.0000 0.5000
0.0000 0.0000 0.2459
0.0000 0.0000 0.7541
0.0000 0.0000 0.0000

AcIr2 | the Alexandria database | PBE | relaxed; space group = P6_3/mmc (194); DFT formation energy = -1.543 eV/f.u.
1.0
-4.3045 -3.4919 0.5049
4.7219 -1.7300 -2.3849
3.1322 -2.6830 8.1478
Ir Ac
8 4
direct
0.8323 0.1677 0.2500
0.3355 0.1677 0.2500
0.1677 0.8323 0.7500
0.0000 0.0000 0.0000
0.8323 0.6645 0.2500
0.6645 0.8323 0.7500
0.0000 0.0000 0.5000
0.1677 0.3355 0.7500
0.6667 0.3333 0.9317
0.3333 0.6667 0.0683
0.6667 0.3333 0.5683
0.3333 0.6667 0.4317

Cu2TeH | the Alexandria database | PBE | relaxed; space group = R-3m (166); DFT total energy = -3.47 eV/atom
1.0
4.3138 0.0000 0.0000
2.1569 3.7358 0.0000
2.1569 1.2453 4.7331
Cu Te H
2 1 1
direct
0.8881 0.8881 0.3357
0.1119 0.1119 0.6643
0.5000 0.5000 0.5000
0.0000 0.0000 0.0000

La6Nd2Tl | the Alexandria database | PBE | relaxed; space group = P-62m (189); DFT formation energy = -0.797 eV/f.u.
1.0
-1.6220 -0.3273 3.3932
8.8674 -1.7444 4.0704
-3.3815 9.2890 -0.7203
La Nd Tl
6 2 1
direct
0.5000 0.3677 0.3677
0.0000 0.7181 0.7182
0.0000 0.9999 0.2818
0.0000 0.2820 0.0000
0.5000 0.0000 0.6323
0.5000 0.6324 0.0000
0.0000 0.3333 0.6666
0.0000 0.6666 0.3334
0.5000 0.0001 0.0000

LiSm4Pd2 | the Alexandria database | PBE | relaxed; space group = R-3m (166); DFT formation energy = -2.401 eV/f.u.
1.0
-2.8352 0.8925 -4.0161
-3.5756 -3.2373 -1.3032
-7.8492 3.5194 3.2154
Pd Sm Li
2 4 1
direct
0.5948 0.5948 0.2155
0.4052 0.4052 0.7845
0.7087 0.7087 0.8740
0.8800 0.8800 0.3600
0.1200 0.1200 0.6400
0.2913 0.2913 0.1260
0.5000 0.5000 0.5000

ZnCuSe | the Alexandria database | PBE | relaxed; space group = F-43m (216); DFT total energy = -2.99 eV/atom
1.0
-1.3528 3.2477 -2.3740
-0.6263 -0.5315 -4.1640
-3.9440 -0.0156 -1.5678
Zn Cu Se
1 1 1
direct
0.5000 0.5000 0.5000
0.7500 0.7500 0.7500
0.0000 0.0000 0.0000

PaSbPb2O6 | the Alexandria database | PBE | relaxed; space group = P4mm (99); DFT total energy = -6.96 eV/atom
1.0
4.6471 0.0000 0.0000
0.0000 6.1694 0.0000
0.0000 0.0000 6.1694
Sb Pb O Pa
1 2 6 1
direct
0.6497 0.0000 0.0000
0.0298 0.0000 0.5000
0.0298 0.5000 0.0000
0.1651 0.5000 0.5000
0.0755 0.0000 0.0000
0.7147 0.2576 0.7424
0.7147 0.7424 0.2576
0.7147 0.7424 0.7424
0.7147 0.2576 0.2576
0.6379 0.5000 0.5000

LiReSb2 | the Alexandria database | PBE | relaxed; space group = R-3m (166); DFT total energy = -5.56 eV/atom
1.0
-7.9886 0.7707 -2.9960
-7.3776 -2.5095 -3.5583
-8.4223 -1.4817 -0.5085
Li Sb Re
1 2 1
direct
0.2500 0.2500 0.2500
0.4932 0.4932 0.4932
0.0068 0.0068 0.0068
0.7500 0.7500 0.7500

Na2TlSBr | the Alexandria database | PBE | relaxed; space group = P4/mmm (123); DFT total energy = -3.03 eV/atom
1.0
-1.7750 4.5576 -1.8588
-3.2092 -2.5698 -3.2364
-4.3551 0.0492 4.2794
Na Tl S Br
2 1 1 1
direct
0.5000 0.0000 0.0000
0.0000 0.5000 0.0000
0.0000 0.0000 0.5000
0.0000 0.0000 0.0000
0.5000 0.5000 0.5000

PmEuNiSb | the Alexandria database | PBE | relaxed; space group = F-43m (216); DFT total energy = -6.72 eV/atom
1.0
-3.1603 -4.1879 -0.3507
-1.0972 -2.0792 -4.7033
1.9818 -4.6852 -1.3303
Pm Sb Eu Ni
1 1 1 1
direct
0.0000 0.0000 0.0000
0.2500 0.2500 0.2500
0.5000 0.5000 0.5000
0.7500 0.7500 0.7500

AlCuO | the Alexandria database | PBE | relaxed; space group = Pmn2_1 (31); DFT total energy = -5.71 eV/atom
1.0
-1.1732 -1.9656 -1.7615
-2.1884 -2.9563 4.7564
-3.3278 2.1569 -0.1905
O Cu Al
2 2 2
direct
0.0000 0.5928 0.6646
0.5000 0.4072 0.1646
0.5000 0.0809 0.4801
0.0000 0.9191 0.9801
0.5000 0.6725 0.4075
0.0000 0.3275 0.9075